# 1
A geometry-optimized Tl2PtOF structure. Source: Alexandria via LeMat-Bulk, functional PBE.

Results
V: 24.0 A^3/atom
formation energy from raw total energies: -650 meV/atom
magnetization: 0.00 μB per formula unit

Geometry as CIF:
```
data_Tl2PtOF
_space_group_name_H-M_alt 'P 4/m m m'
_space_group_IT_number 123
_space_group_name_Hall '-P 4 2'
_cell_length_a 5.634
_cell_length_b 5.634
_cell_length_c 3.786
_cell_angle_alpha 90.00
_cell_angle_beta 90.00
_cell_angle_gamma 90.00
loop_
_atom_site_label
_atom_site_type_symbol
_atom_site_fract_x
_atom_site_fract_y
_atom_site_fract_z
Tl1 Tl 0.000 0.500 0.000
Pt1 Pt 0.000 0.000 0.500
O1 O 0.000 0.000 0.000
F1 F 0.500 0.500 0.500
```


# 2
A geometry-optimized TlPtO2F structure. Source: Alexandria via LeMat-Bulk, functional PBE.

Results
V: 14.8 A^3/atom
formation energy from raw total energies: 918 meV/atom
magnetization: 1.75 μB per formula unit

Geometry as CIF:
```
data_TlPtO2F
_space_group_name_H-M_alt 'P 4/m m m'
_space_group_IT_number 123
_space_group_name_Hall '-P 4 2'
_cell_length_a 3.976
_cell_length_b 3.976
_cell_length_c 4.687
_cell_angle_alpha 90.00
_cell_angle_beta 90.00
_cell_angle_gamma 90.00
loop_
_atom_site_label
_atom_site_type_symbol
_atom_site_fract_x
_atom_site_fract_y
_atom_site_fract_z
Tl1 Tl 0.000 0.000 0.000
Pt1 Pt 0.500 0.500 0.000
O1 O 0.000 0.500 0.500
F1 F 0.000 0.000 0.500
```


Please write out number 2 again, unchanged.
A geometry-optimized TlPtO2F structure. Source: Alexandria via LeMat-Bulk, functional PBE.

Results
V: 14.8 A^3/atom
formation energy from raw total energies: 918 meV/atom
magnetization: 1.75 μB per formula unit

Geometry as CIF:
```
data_TlPtO2F
_space_group_name_H-M_alt 'P 4/m m m'
_space_group_IT_number 123
_space_group_name_Hall '-P 4 2'
_cell_length_a 3.976
_cell_length_b 3.976
_cell_length_c 4.687
_cell_angle_alpha 90.00
_cell_angle_beta 90.00
_cell_angle_gamma 90.00
loop_
_atom_site_label
_atom_site_type_symbol
_atom_site_fract_x
_atom_site_fract_y
_atom_site_fract_z
Tl1 Tl 0.000 0.000 0.000
Pt1 Pt 0.500 0.500 0.000
O1 O 0.000 0.500 0.500
F1 F 0.000 0.000 0.500
```


Question: What is the magnetization in the second record?
Answer: 1.75 μB per formula unit